Compound: CaZr2Zn9
Source: Alexandria via LeMat-Bulk
Functional: PBE
Structure: relaxed

## Properties
The theoretical density is 6.50 g cm⁻³. As for the formation energy from the elements: -0.2498 eV per atom. Its energy is -33.561 eV/f.u.

Lattice parameters (Å, degrees): 5.3291 5.3291 25.2946 90.00 90.00 120.00
Space group R-3m (No. 166, hexagonal axes)
One atom of each set of equivalent atoms:
Ca  0.0000  0.0000  0.0000 x3
Zr  0.0000  0.0000  0.1454 x6
Zn  0.0000  0.0000  0.3355 x6
Zn  0.0000  0.0000  0.5000 x3
Zn  0.0080  0.5040  0.9142 x18